A relaxed structure of YMgBCl2, computed with PBE-GGA.

Results
* crystal system: tetragonal
* space-group type: No. 123
* total energy: -3.7661 eV per atom
* magnetization: 1.3 μB per formula unit
* formation energy without anion corrections: -0.080 eV per atom
* theoretical density: 2983 kg/m³

```
YMgBCl2
1.0
4.5827 0.0000 0.0000
0.0000 5.1667 0.0000
0.0000 0.0000 4.5827
Mg Y Cl B
1 1 2 1
direct
0.0000 0.0000 0.0000
0.5000 0.5000 0.5000
0.0000 0.0000 0.5000
0.5000 0.0000 0.0000
0.0000 0.5000 0.0000
```

---

A relaxed structure of KTa2Sb, computed with PBE-GGA.

Results
* crystal system: tetragonal
* space-group type: No. 119
* total energy: -6.2363 eV per atom
* magnetization: 0.0 μB per formula unit
* formation energy without anion corrections: 0.995 eV per atom
* theoretical density: 9923 kg/m³

```
KTa2Sb
1.0
4.9890 0.0326 0.0000
0.0047 4.9891 0.0000
-2.4968 -2.5108 3.5146
Sb Ta K
1 2 1
direct
0.7500 0.2500 0.5000
0.2500 0.7500 0.5000
0.0000 0.0000 0.0000
0.5000 0.5000 0.0000
```

---

Look up the total energy of the second one. -6.2363 eV per atom

---

Which value of formation energy without anion corrections does entry 2 give? 0.995 eV per atom

---

magnetization of number 2 (KTa2Sb)? 0.0 μB per formula unit